Material: PrFeP2O8
Method: DFT, GGA+U
State: optimized geometry

The crystal system is trigonal. For the size of the total moment, the calculation gives 5.03 μB per cell. For the total energy, the calculation gives -7.4951 eV/atom.

a b c (Å): 5.1443 5.1443 6.7932
angles (deg): 90.00 90.00 120.00
Space group P-3m1 (No. 164)
One atom of each set of equivalent atoms:
Pr1 0.0000 0.0000 0.0000
Fe1 0.0000 0.0000 0.5000
P1 0.3333 0.6667 0.2332
O1 0.1687 0.3373 0.3052
O2 0.3333 0.6667 0.0069